Compound: CdNiPdAu
Source: Alexandria
Functional: PBE-GGA
Structure: relaxed

Geometry as POSCAR:
```
CdNiPdAu
1.0
0.000 3.181 3.181
3.181 0.000 3.181
3.181 3.181 0.000
Cd Ni Pd Au
1 1 1 1
Cartesian
0.000 0.000 0.000
1.591 1.591 1.591
4.772 4.772 4.772
3.181 3.181 3.181
```

Output
DFT formation energy in eV per atom: -0.0911